(1)
Material: Ti2SiTeW
Method: DFT, PBE-GGA
State: relaxed

a b c (Å): 4.683 4.546 4.683
angles (deg): 90.00 90.00 90.00
Element x y z (fractional)
Si: 0.000 0.000 0.000
W: 0.000 0.500 0.000
Ti: 0.000 0.000 0.500
Ti: 0.500 0.000 0.000
Te: 0.500 0.500 0.500

Density = 7.25 g/cm³
Symmetry = P4/mmm (123)
Raw formation energy = 0.55 eV/atom
N(E_F) = 1.426 states/eV per atom

***

(2)
Material: LiDy2Br
Method: DFT, PBE-GGA
State: relaxed

a b c (Å): 3.468 3.468 11.367
angles (deg): 81.22 81.22 60.00
Element x y z (fractional)
Br: 0.500 0.500 0.500
Li: 0.000 0.000 0.000
Dy: 0.904 0.904 0.287
Dy: 0.096 0.096 0.713

Density = 5.87 g/cm³
Symmetry = R-3m (166)
Raw formation energy = -0.22 eV/atom
N(E_F) = 1.184 states/eV per atom

***

(3)
Material: TaFeP
Method: DFT, PBE-GGA
State: relaxed

a b c (Å): 3.590 6.118 6.942
angles (deg): 90.00 90.00 90.00
Element x y z (fractional)
Ta: 0.250 0.022 0.824
Ta: 0.750 0.478 0.324
Ta: 0.750 0.978 0.176
Ta: 0.250 0.522 0.676
P: 0.750 0.723 0.881
P: 0.250 0.777 0.381
P: 0.250 0.277 0.119
P: 0.750 0.223 0.619
Fe: 0.250 0.142 0.437
Fe: 0.750 0.858 0.563
Fe: 0.750 0.358 0.937
Fe: 0.250 0.642 0.063

Density = 11.66 g/cm³
Symmetry = Pnma (62)
Energy of formation = -2.53 eV per formula unit
N(E_F) = 0.241 states/eV per atom

***

(4)
Material: Rb2NaBi2
Method: DFT, PBE-GGA
State: relaxed

a b c (Å): 8.603 8.603 5.923
angles (deg): 90.00 90.00 90.00
Element x y z (fractional)
Bi: 0.875 0.625 0.000
Bi: 0.625 0.125 0.000
Bi: 0.125 0.375 0.000
Bi: 0.375 0.875 0.000
Na: 0.000 0.000 0.000
Na: 0.500 0.500 0.000
Rb: 0.169 0.669 0.500
Rb: 0.669 0.831 0.500
Rb: 0.331 0.169 0.500
Rb: 0.831 0.331 0.500

Density = 4.64 g/cm³
ΔE to the lowest computed polymorph = 0.0107 eV/atom
Symmetry = P4/mbm (127)
Energy of formation = -1.40 eV per formula unit
N(E_F) = 0.916 states/eV per atom

***

(5)
Material: NaY2Be
Method: DFT, PBE-GGA
State: relaxed

a b c (Å): 8.186 8.186 6.652
angles (deg): 52.03 52.03 90.00
Element x y z (fractional)
Y: 0.181 0.625 0.250
Y: 0.375 0.431 0.750
Y: 0.569 0.125 0.250
Y: 0.875 0.819 0.750
Be: 0.500 0.500 0.000
Be: 0.250 0.750 0.500
Na: 0.750 0.250 0.500
Na: 0.000 0.000 0.000

Density = 3.17 g/cm³
Symmetry = I-42d (122)
Energy of formation = 2.22 eV per formula unit
N(E_F) = 0.684 states/eV per atom

***

(6)
Material: Mg2BeOs
Method: DFT, PBE-GGA
State: relaxed

a b c (Å): 4.138 3.750 3.750
angles (deg): 90.00 90.00 90.00
Element x y z (fractional)
Be: 0.500 0.000 0.500
Mg: 0.000 0.500 0.500
Mg: 0.000 0.000 0.000
Os: 0.500 0.500 0.000

Density = 7.07 g/cm³
Symmetry = P4/mmm (123)
Energy of formation = 1.11 eV per formula unit
N(E_F) = 0.407 states/eV per atom

***

(7)
Material: AsIr2W
Method: DFT, PBE-GGA
State: relaxed

a b c (Å): 4.008 2.855 5.531
angles (deg): 75.00 90.00 90.00
Element x y z (fractional)
W: 0.000 0.562 0.500
Ir: 0.000 0.816 0.992
Ir: 0.500 0.177 0.271
As: 0.500 0.945 0.736

Density = 17.47 g/cm³
Symmetry = Amm2 (38)
Energy of formation = 0.12 eV per formula unit
N(E_F) = 0.638 states/eV per atom

***

(8)
Material: AlPdN3
Method: DFT, PBE-GGA
State: relaxed

a b c (Å): 3.722 3.722 3.722
angles (deg): 90.00 90.00 90.00
Element x y z (fractional)
Al: 0.000 0.000 0.000
N: 0.000 0.000 0.500
N: 0.000 0.500 0.000
N: 0.500 0.000 0.000
Pd: 0.500 0.500 0.500

Density = 5.65 g/cm³
Symmetry = Pm-3m (221)
Raw formation energy = 1.15 eV/atom
N(E_F) = 0.276 states/eV per atom

***

(9)
Material: La3PbN
Method: DFT, PBE-GGA
State: relaxed

a b c (Å): 7.250 7.112 5.911
angles (deg): 90.00 90.00 99.92
Element x y z (fractional)
N: 0.612 0.809 0.879
N: 0.418 0.402 0.379
Pb: 0.135 0.863 0.159
Pb: 0.896 0.348 0.659
La: 0.434 0.177 0.647
La: 0.885 0.865 0.671
La: 0.671 0.551 0.160
La: 0.360 0.660 0.660
La: 0.146 0.346 0.171
La: 0.597 0.034 0.147

Density = 7.06 g/cm³
Symmetry = P2_1 (4)
Raw formation energy = -0.82 eV/atom
N(E_F) = 0.097 states/eV per atom

***

(10)
Material: U2HRh8
Method: DFT, PBE-GGA
State: relaxed

a b c (Å): 4.618 6.631 6.801
angles (deg): 116.93 109.85 90.00
Element x y z (fractional)
Rh: 0.030 0.801 0.061
Rh: 0.400 0.689 0.801
Rh: 0.198 0.246 0.395
Rh: 0.802 0.754 0.605
Rh: 0.666 0.960 0.332
Rh: 0.334 0.040 0.668
Rh: 0.600 0.311 0.199
Rh: 0.970 0.199 0.939
U: 0.839 0.378 0.679
U: 0.161 0.622 0.321
H: 0.500 0.000 0.000

Density = 12.58 g/cm³
Total DFT energy (no corrections) = -0.5883 Ry per atom
Symmetry = C2/m (12)
N(E_F) = 0.728 states/eV per atom

***

(11)
Material: CsVNiTe3
Method: DFT, PBE-GGA
State: relaxed

a b c (Å): 3.898 9.908 10.861
angles (deg): 120.80 90.00 90.00
Element x y z (fractional)
Te: 0.750 0.882 0.153
Te: 0.750 0.481 0.124
Te: 0.250 0.118 0.847
Te: 0.250 0.519 0.876
Te: 0.250 0.783 0.448
Te: 0.750 0.217 0.552
Cs: 0.750 0.743 0.739
Cs: 0.250 0.257 0.261
Ni: 0.750 0.914 0.399
Ni: 0.250 0.086 0.601
V: 0.250 0.708 0.177
V: 0.750 0.292 0.823

Density = 5.76 g/cm³
Symmetry = P2_1/m (11)
Raw formation energy = -0.49 eV/atom
N(E_F) = 0.647 states/eV per atom

***

(12)
Material: K2SiMoP
Method: DFT, PBE-GGA
State: relaxed

a b c (Å): 6.168 4.768 6.168
angles (deg): 90.00 90.00 90.00
Element x y z (fractional)
Mo: 0.000 0.500 0.000
Si: 0.000 0.000 0.000
K: 0.500 0.000 0.000
K: 0.000 0.000 0.500
P: 0.500 0.500 0.500

Density = 2.13 g/cm³
Symmetry = P4/mmm (123)
Raw formation energy = 1.06 eV/atom
N(E_F) = 0.560 states/eV per atom

***

(13)
Material: LaCeRh
Method: DFT, PBE-GGA
State: relaxed

a b c (Å): 3.628 3.628 5.982
angles (deg): 107.65 107.65 90.00
Element x y z (fractional)
La: 0.329 0.329 0.658
Ce: 0.021 0.021 0.043
Rh: 0.650 0.650 0.300

Density = 8.92 g/cm³
ΔE to the lowest computed polymorph = 0.0751 eV/atom
Symmetry = I4mm (107)
Energy of formation = -1.35 eV per formula unit
N(E_F) = 1.163 states/eV per atom

***

(14)
Material: RbNa2Au
Method: DFT, PBE-GGA
State: relaxed

a b c (Å): 4.990 4.990 12.260
angles (deg): 78.26 78.26 90.00
Element x y z (fractional)
Na: 0.070 0.625 0.250
Na: 0.680 0.125 0.250
Na: 0.875 0.930 0.750
Na: 0.375 0.320 0.750
Au: 0.000 0.000 0.000
Au: 0.750 0.250 0.500
Rb: 0.250 0.750 0.500
Rb: 0.500 0.500 0.000

Density = 3.73 g/cm³
ΔE to the lowest computed polymorph = 0.1411 eV/atom
Symmetry = I-42d (122)
Energy of formation = -0.17 eV per formula unit
N(E_F) = 0.303 states/eV per atom

***

(15)
Material: CaCePmCd
Method: DFT, PBE-GGA
State: relaxed

a b c (Å): 5.561 5.561 5.561
angles (deg): 60.00 60.00 60.00
Element x y z (fractional)
Ce: 0.500 0.500 0.500
Ca: 0.000 0.000 0.000
Cd: 0.750 0.750 0.750
Pm: 0.250 0.250 0.250

Density = 5.97 g/cm³
Symmetry = F-43m (216)
Energy of formation = 0.36 eV per formula unit
N(E_F) = 1.828 states/eV per atom

***

(16)
Material: Sr2PuSe3
Method: DFT, PBE-GGA
State: relaxed

a b c (Å): 4.353 6.161 7.561
angles (deg): 114.04 106.73 90.00
Element x y z (fractional)
Pu: 0.500 0.500 0.500
Sr: 0.168 0.168 0.836
Sr: 0.832 0.832 0.164
Se: 0.158 0.658 0.815
Se: 0.842 0.342 0.185
Se: 0.500 0.000 0.500

Density = 6.20 g/cm³
Symmetry = Immm (71)
Raw formation energy = -1.82 eV/atom
N(E_F) = 2.506 states/eV per atom

***

(17)
Material: Pr4DyRh4
Method: DFT, PBE-GGA
State: relaxed

a b c (Å): 5.832 8.955 8.955
angles (deg): 90.00 90.00 90.00
Element x y z (fractional)
Rh: 0.605 0.230 0.620
Rh: 0.395 0.620 0.770
Rh: 0.105 0.880 0.730
Rh: 0.895 0.730 0.120
Rh: 0.395 0.380 0.230
Rh: 0.895 0.270 0.880
Rh: 0.605 0.770 0.380
Rh: 0.105 0.120 0.270
Pr: 0.096 0.192 0.581
Pr: 0.596 0.081 0.308
Pr: 0.904 0.581 0.808
Pr: 0.404 0.308 0.919
Pr: 0.096 0.808 0.419
Pr: 0.904 0.419 0.192
Pr: 0.596 0.919 0.692
Pr: 0.404 0.692 0.081
Dy: 0.000 0.000 0.000
Dy: 0.500 0.500 0.500

Density = 8.08 g/cm³
Symmetry = P4_2/n (86)
Energy of formation = -5.03 eV per formula unit
N(E_F) = 0.650 states/eV per atom

***

(18)
Material: BaSc2Hg
Method: DFT, PBE-GGA
State: relaxed

a b c (Å): 11.538 11.538 11.538
angles (deg): 17.28 17.28 17.28
Element x y z (fractional)
Hg: 0.500 0.500 0.500
Sc: 0.899 0.899 0.899
Sc: 0.101 0.101 0.101
Ba: 0.000 0.000 0.000

Density = 6.01 g/cm³
Symmetry = R-3m (166)
Energy of formation = 0.73 eV per formula unit
N(E_F) = 1.436 states/eV per atom

***

(19)
Material: InTc2NiC
Method: DFT, PBE-GGA
State: relaxed

a b c (Å): 4.151 4.151 3.889
angles (deg): 90.00 90.00 90.00
Element x y z (fractional)
Ni: 0.000 0.000 0.500
C: 0.000 0.000 0.000
Tc: 0.500 0.000 0.000
Tc: 0.000 0.500 0.000
In: 0.500 0.500 0.500

Density = 9.45 g/cm³
Symmetry = P4/mmm (123)
Energy of formation = 0.64 eV per formula unit
N(E_F) = 0.800 states/eV per atom

***

(20)
Material: Tb2DyCdRh4
Method: DFT, PBE-GGA
State: relaxed

a b c (Å): 4.782 4.782 8.253
angles (deg): 73.16 73.16 60.00
Element x y z (fractional)
Rh: 0.878 0.878 0.366
Rh: 0.375 0.375 0.876
Rh: 0.625 0.625 0.124
Rh: 0.122 0.122 0.634
Dy: 0.000 0.000 0.000
Tb: 0.756 0.756 0.731
Tb: 0.244 0.244 0.269
Cd: 0.500 0.500 0.500

Density = 10.83 g/cm³
Symmetry = R-3m (166)
Energy of formation = -5.90 eV per formula unit
N(E_F) = 0.380 states/eV per atom